First-principles (PBE-GGA) data for Tm2BeIr6 after structural relaxation, as listed in the Alexandria database.

Unit cell a=5.846 b=5.846 c=5.846 alpha=59.99 beta=59.99 gamma=60.00
Fractional coordinates of all 9 atoms:
Tm: 0.250 0.250 0.250
Tm: 0.750 0.750 0.750
Be: 0.500 0.500 0.500
Ir: 0.236 0.236 0.764
Ir: 0.236 0.764 0.236
Ir: 0.764 0.236 0.764
Ir: 0.764 0.236 0.236
Ir: 0.236 0.764 0.764
Ir: 0.764 0.764 0.236

Calculated values
Raw total energy ... -7.891 eV/atom
Energy relative to the elements ... -500.6 kJ/mol of formula units
Density of states at the Fermi level ... 0.890 states/eV/atom

***

First-principles (PBE-GGA) data for Ac8Te4AsPt3 after structural relaxation, as listed in the Alexandria database.

Unit cell a=9.025 b=9.527 c=9.025 alpha=118.28 beta=120.00 gamma=90.00
Fractional coordinates of all 16 atoms:
Ac: 0.243 0.717 0.975
Ac: 0.243 0.717 0.486
Ac: 0.263 0.289 0.526
Ac: 0.732 0.717 0.975
Ac: 0.268 0.283 0.025
Ac: 0.737 0.711 0.474
Ac: 0.757 0.283 0.514
Ac: 0.757 0.283 0.025
Te: 0.500 0.000 0.000
Te: 0.500 0.000 0.500
Te: 0.000 0.000 0.000
Te: 0.000 0.000 0.500
As: 0.000 0.500 0.000
Pt: 0.500 0.500 0.000
Pt: 0.500 0.500 0.500
Pt: 0.000 0.500 0.500

Calculated values
Raw total energy ... -5.634 eV/atom
Density of states at the Fermi level ... 0.681 states/eV/atom

***

First-principles (PBE-GGA) data for RbNa8Cd2 after structural relaxation, as listed in the Alexandria database.

Unit cell a=10.390 b=6.828 c=6.828 alpha=120.00 beta=90.00 gamma=90.00
Fractional coordinates of all 11 atoms:
Rb: 0.500 0.000 0.000
Na: 0.706 0.333 0.667
Na: 0.294 0.667 0.333
Na: 0.138 0.169 0.339
Na: 0.862 0.831 0.661
Na: 0.862 0.339 0.169
Na: 0.138 0.661 0.831
Na: 0.138 0.169 0.831
Na: 0.862 0.831 0.169
Cd: 0.606 0.667 0.333
Cd: 0.394 0.333 0.667

Calculated values
Raw total energy ... -1.164 eV/atom
Energy relative to the elements ... 52.8 kJ/mol of formula units
Density of states at the Fermi level ... 0.569 states/eV/atom

***

First-principles (PBE-GGA) data for KPuCuBr6 after structural relaxation, as listed in the Alexandria database.

Unit cell a=7.082 b=7.082 c=14.773 alpha=90.00 beta=90.00 gamma=120.00
Last column: magnetic moment on the atom in μB.
Fractional coordinates of all 18 atoms:
K: 0.000 0.000 0.000  0.00
K: 0.000 0.000 0.500  0.00
Pu: 0.333 0.667 0.250  4.74
Pu: 0.667 0.333 0.750  4.74
Cu: 0.667 0.333 0.250  -0.28
Cu: 0.333 0.667 0.750  -0.28
Br: 0.641 0.627 0.144  -0.07
Br: 0.985 0.359 0.144  -0.07
Br: 0.359 0.985 0.644  -0.07
Br: 0.015 0.641 0.856  -0.07
Br: 0.373 0.359 0.356  -0.07
Br: 0.985 0.627 0.356  -0.07
Br: 0.627 0.985 0.856  -0.07
Br: 0.641 0.015 0.356  -0.07
Br: 0.015 0.373 0.644  -0.07
Br: 0.373 0.015 0.144  -0.07
Br: 0.627 0.641 0.644  -0.07
Br: 0.359 0.373 0.856  -0.07

Calculated values
Raw total energy ... -4.444 eV/atom
Density of states at the Fermi level ... 1.126 states/eV/atom

***

Number 1: theoretical density 17.6 g/cm³. Number 2: theoretical density 8.8 g/cm³. Number 3: theoretical density 2.0 g/cm³. Number 4: theoretical density 4.3 g/cm³.